No. 1
Material: HfSbTe2Pd
Method: DFT, GGA-PBE
State: relaxed

Calculated values
Magnetic moment   0.000 μB per atom
Symmetry   P4/mmm, No. 123
D(E_F)   1.027 states/eV/atom
ΔE_f (raw)   0.38 eV/atom
Relative energy among the computed polymorphs   0 meV/atom

Cell: 5.4856 5.4856 5.5149 Å, 90.00 90.00 90.00°
Positions (direct):
1 Hf 0.0000 0.0000 0.0000
2 Te 0.5000 0.0000 0.0000
3 Pd 0.5000 0.5000 0.5000
4 Sb 0.0000 0.0000 0.5000
5 Te 0.0000 0.5000 0.0000

***

No. 2
Material: HfThSb2Pd2
Method: DFT, GGA-PBE
State: relaxed

Calculated values
Magnetic moment   0.000 μB per atom
Symmetry   P-3m1, No. 164
D(E_F)   0.416 states/eV/atom
ΔE_f (raw)   -0.77 eV/atom

Cell: 4.6132 4.6132 7.1363 Å, 90.00 90.00 120.00°
Positions (direct):
1 Hf 0.0000 0.0000 0.5000
2 Pd 0.6667 0.3333 0.3202
3 Pd 0.3333 0.6667 0.6798
4 Th 0.0000 0.0000 0.0000
5 Sb 0.3333 0.6667 0.2617
6 Sb 0.6667 0.3333 0.7383

***

No. 3
Material: Hf2VSbPd
Method: DFT, GGA-PBE
State: relaxed

Calculated values
Magnetic moment   0.338 μB per atom
Symmetry   P4/mmm, No. 123
D(E_F)   0.976 states/eV/atom
ΔE_f (raw)   1.11 eV/atom

Cell: 5.2090 5.2090 4.7566 Å, 90.00 90.00 90.00°
Each line ends with the local moment (μB).
Positions (direct):
1 Hf 0.5000 0.0000 0.0000  -0.09
2 Sb 0.0000 0.0000 0.0000  -0.03
3 V 0.0000 0.0000 0.5000  1.71
4 Hf 0.0000 0.5000 0.0000  -0.09
5 Pd 0.5000 0.5000 0.5000  0.05

***

No. 4
Material: HfScPd3
Method: DFT, GGA-PBE
State: relaxed

Calculated values
Magnetic moment   0.000 μB per atom
Symmetry   Pm-3m, No. 221
D(E_F)   0.808 states/eV/atom
Relative energy among the computed polymorphs   950 meV/atom
ΔE_f   0.168 eV per atom

Cell: 4.8558 4.8558 4.8558 Å, 90.00 90.00 90.00°
Positions (direct):
1 Hf 0.0000 0.0000 0.0000
2 Pd 0.0000 0.0000 0.5000
3 Pd 0.0000 0.5000 0.0000
4 Sc 0.5000 0.5000 0.5000
5 Pd 0.5000 0.0000 0.0000

***

No. 5
Material: Hf3ScPd
Method: DFT, GGA-PBE
State: relaxed

Calculated values
Magnetic moment   0.000 μB per atom
Symmetry   Pm-3m, No. 221
D(E_F)   2.276 states/eV/atom
Relative energy among the computed polymorphs   0 meV/atom
ΔE_f   0.416 eV per atom

Cell: 5.0381 5.0381 5.0381 Å, 90.00 90.00 90.00°
Positions (direct):
1 Hf 0.0000 0.0000 0.5000
2 Sc 0.5000 0.5000 0.5000
3 Pd 0.0000 0.0000 0.0000
4 Hf 0.5000 0.0000 0.0000
5 Hf 0.0000 0.5000 0.0000

***

No. 6
Material: HfScPd3
Method: DFT, GGA-PBE
State: relaxed

Calculated values
Magnetic moment   0.000 μB per atom
Symmetry   C2/m, No. 12
D(E_F)   0.453 states/eV/atom
Relative energy among the computed polymorphs   0 meV/atom
ΔE_f   -0.782 eV per atom

Cell: 3.9583 5.2034 9.2141 Å, 92.65 90.00 112.36°
Positions (direct):
1 Pd 0.4419 0.8839 0.1372
2 Pd 0.5581 0.1161 0.8628
3 Pd 0.7512 0.5024 0.2483
4 Pd 0.9423 0.8847 0.6408
5 Sc 0.3564 0.7128 0.4250
6 Hf 0.8550 0.7100 0.9206
7 Hf 0.1450 0.2900 0.0794
8 Pd 0.2488 0.4976 0.7517
9 Pd 0.0577 0.1153 0.3592
10 Sc 0.6436 0.2872 0.5750

***

No. 7
Material: Hf2ScPd4
Method: DFT, GGA-PBE
State: relaxed

Calculated values
Magnetic moment   0.000 μB per atom
Symmetry   I4/mmm, No. 139
D(E_F)   0.669 states/eV/atom
Relative energy among the computed polymorphs   799 meV/atom
ΔE_f   0.083 eV per atom

Cell: 4.7544 4.7544 7.5246 Å, 71.58 71.58 90.00°
Positions (direct):
1 Hf 0.6205 0.6205 0.7589
2 Pd 0.0000 0.5000 0.0000
3 Pd 0.5000 0.0000 0.0000
4 Hf 0.3795 0.3795 0.2411
5 Sc 0.0000 0.0000 0.0000
6 Pd 0.8070 0.8070 0.3859
7 Pd 0.1930 0.1930 0.6141

***

No. 8
Material: Hf3ScPd12
Method: DFT, GGA-PBE
State: relaxed

Calculated values
Magnetic moment   0.000 μB per atom
Symmetry   P4/mmm, No. 123
D(E_F)   0.120 states/eV/atom
ΔE_f   -0.891 eV per atom

Cell: 4.0086 4.0086 16.0450 Å, 90.00 90.00 90.00°
Positions (direct):
1 Sc 0.0000 0.0000 0.0000
2 Pd 0.5000 0.0000 0.6245
3 Pd 0.5000 0.5000 0.7486
4 Pd 0.5000 0.0000 0.1267
5 Pd 0.5000 0.0000 0.3755
6 Hf 0.0000 0.0000 0.7530
7 Pd 0.5000 0.5000 0.5000
8 Pd 0.0000 0.5000 0.6245
9 Pd 0.0000 0.5000 0.1267
10 Hf 0.0000 0.0000 0.5000
11 Pd 0.5000 0.5000 0.2514
12 Pd 0.0000 0.5000 0.3755
13 Hf 0.0000 0.0000 0.2470
14 Pd 0.5000 0.0000 0.8733
15 Pd 0.5000 0.5000 0.0000
16 Pd 0.0000 0.5000 0.8733

***

No. 9
Material: HfSc3Pd4
Method: DFT, GGA-PBE
State: relaxed

Calculated values
Magnetic moment   0.000 μB per atom
Symmetry   R-3m, No. 166
D(E_F)   0.662 states/eV/atom
ΔE_f   -0.834 eV per atom

Cell: 4.6906 4.6906 8.1442 Å, 73.26 73.26 60.00°
Positions (direct):
1 Hf 0.0000 0.0000 0.0000
2 Pd 0.3708 0.3708 0.8876
3 Sc 0.5000 0.5000 0.5000
4 Pd 0.6292 0.6292 0.1124
5 Pd 0.8794 0.8794 0.3619
6 Pd 0.1206 0.1206 0.6381
7 Sc 0.7522 0.7522 0.7435
8 Sc 0.2478 0.2478 0.2565

***

No. 10
Material: Hf3ScPd
Method: DFT, GGA-PBE
State: relaxed

Calculated values
Magnetic moment   0.000 μB per atom
Symmetry   Pm-3m, No. 221
D(E_F)   1.560 states/eV/atom
Relative energy among the computed polymorphs   828 meV/atom
ΔE_f   1.244 eV per atom

Cell: 4.9178 4.9178 4.9178 Å, 90.00 90.00 90.00°
Positions (direct):
1 Hf 0.0000 0.0000 0.5000
2 Pd 0.5000 0.5000 0.5000
3 Hf 0.5000 0.0000 0.0000
4 Hf 0.0000 0.5000 0.0000
5 Sc 0.0000 0.0000 0.0000

***

No. 11
Material: HfScPd3
Method: DFT, GGA-PBE
State: relaxed

Calculated values
Magnetic moment   0.000 μB per atom
Symmetry   Pnma, No. 62
D(E_F)   0.489 states/eV/atom
Relative energy among the computed polymorphs   128 meV/atom
ΔE_f   -0.653 eV per atom

Cell: 7.5723 6.7064 7.3092 Å, 90.00 90.00 90.00°
Positions (direct):
1 Sc 0.0000 0.5000 0.0000
2 Hf 0.1392 0.0600 0.2500
3 Pd 0.1639 0.8433 0.9378
4 Sc 0.5000 0.0000 0.5000
5 Pd 0.3361 0.3433 0.0622
6 Pd 0.1639 0.8433 0.5622
7 Pd 0.8361 0.1567 0.4378
8 Hf 0.8608 0.9400 0.7500
9 Pd 0.8361 0.1567 0.0622
10 Pd 0.6639 0.6567 0.5622
11 Pd 0.3500 0.7156 0.2500
12 Sc 0.5000 0.0000 0.0000
13 Hf 0.3608 0.5600 0.7500
14 Hf 0.6392 0.4400 0.2500
15 Sc 0.0000 0.5000 0.5000
16 Pd 0.1500 0.2156 0.7500
17 Pd 0.6639 0.6567 0.9378
18 Pd 0.8500 0.7844 0.2500
19 Pd 0.6500 0.2844 0.7500
20 Pd 0.3361 0.3433 0.4378

***

No. 12
Material: Hf2ScPd6
Method: DFT, GGA-PBE
State: relaxed

Calculated values
Magnetic moment   0.000 μB per atom
Symmetry   C2/m, No. 12
D(E_F)   0.560 states/eV/atom
ΔE_f   -0.563 eV per atom

Cell: 3.0446 7.5606 8.1048 Å, 117.80 100.98 90.00°
Positions (direct):
1 Pd 0.1664 0.3613 0.3341
2 Pd 0.1664 0.9728 0.3341
3 Hf 0.3357 0.3343 0.6687
4 Sc 0.0000 0.0000 0.0000
5 Pd 0.8336 0.6387 0.6659
6 Pd 0.5000 0.3060 0.0000
7 Hf 0.6643 0.6657 0.3313
8 Pd 0.8336 0.0272 0.6659
9 Pd 0.5000 0.6940 0.0000